(1)
Density functional theory data (PBE) for crystalline Pm3Te5 at its relaxed geometry.

Output
Final energy: -5.07 eV per atom
Crystal system: hexagonal
E_form (uncorrected): -1.328 eV per atom

a b c (Å): 6.2598 9.6286 9.6286
angles (deg): 120.00 90.00 90.00
With the nearest neighbours (Å) after each atom.
Atoms (fractional coordinates):
Te 0.7500 0.0000 0.2780  5 Pm 3.22-3.38
Te 0.5000 0.3333 0.6667  2 Te 3.13, 6 Pm 3.42
Te 0.7500 0.7220 0.7220  5 Pm 3.22-3.38
Te 0.0000 0.3333 0.6667  2 Te 3.13, 6 Pm 3.42
Te 0.5000 0.6667 0.3333  2 Te 3.13, 6 Pm 3.42
Te 0.2500 0.2780 0.2780  5 Pm 3.22-3.38
Te 0.2500 0.0000 0.7220  5 Pm 3.22-3.38
Te 0.2500 0.7220 0.0000  5 Pm 3.22-3.38
Te 0.7500 0.2780 0.0000  5 Pm 3.22-3.38
Te 0.0000 0.6667 0.3333  2 Te 3.13, 6 Pm 3.42
Pm 0.2500 0.0000 0.3708  9 Te 3.22-3.42
Pm 0.2500 0.3708 0.0000  9 Te 3.22-3.42
Pm 0.7500 0.0000 0.6292  9 Te 3.22-3.42
Pm 0.7500 0.6292 0.0000  9 Te 3.22-3.42
Pm 0.2500 0.6292 0.6292  9 Te 3.22-3.42
Pm 0.7500 0.3708 0.3708  9 Te 3.22-3.42


(2)
Density functional theory data (PBE) for crystalline Pm2Te at its relaxed geometry.

Output
Final energy: -5.00 eV per atom
Distance to the lowest polymorph of the same formula: 114.4 meV/atom
Crystal system: orthorhombic
E_form (uncorrected): -0.787 eV per atom

a b c (Å): 3.9787 3.9787 6.5516
angles (deg): 107.79 107.79 89.80
With the nearest neighbours (Å) after each atom.
Atoms (fractional coordinates):
Pm 0.8475 0.8475 0.6947  4 Te 3.34-3.35, 5 Pm 3.61-3.64
Pm 0.1525 0.1525 0.3053  4 Te 3.34-3.35, 5 Pm 3.61-3.64
Te 0.5000 0.5000 0.0000  8 Pm 3.34-3.35


(3)
Density functional theory data (PBE) for crystalline PmTe4 at its relaxed geometry.

Output
Final energy: -3.38 eV per atom
Crystal system: cubic
E_form (uncorrected): 0.087 eV per atom

a b c (Å): 5.9815 5.9815 5.9815
angles (deg): 90.00 90.00 90.00
With the nearest neighbours (Å) after each atom.
Atoms (fractional coordinates):
Te 0.5000 0.0000 0.5000  2 Pm 2.99
Te 0.0000 0.5000 0.5000  2 Pm 2.99
Te 0.5000 0.5000 0.0000  2 Pm 2.99
Te 0.0000 0.0000 0.0000  12 Te 4.23
Pm 0.5000 0.5000 0.5000  6 Te 2.99


(4)
Density functional theory data (PBE) for crystalline Pm5Te4 at its relaxed geometry.

Output
Final energy: -5.18 eV per atom
Distance to the lowest polymorph of the same formula: 0.0 meV/atom
Crystal system: tetragonal
E_form (uncorrected): -1.143 eV per atom

a b c (Å): 4.2302 9.0371 9.0371
angles (deg): 86.86 76.46 76.46
With the nearest neighbours (Å) after each atom.
Atoms (fractional coordinates):
Pm 0.7125 0.8998 0.6753  5 Te 3.13-3.20
Pm 0.2875 0.1002 0.3247  5 Te 3.13-3.20
Pm 0.0000 0.0000 0.0000  4 Te 3.23
Pm 0.6122 0.6753 0.1002  5 Te 3.13-3.20
Pm 0.3878 0.3247 0.8998  5 Te 3.13-3.20
Te 0.7519 0.3257 0.1705  6 Pm 3.13-3.23
Te 0.0776 0.1705 0.6743  6 Pm 3.13-3.23
Te 0.9224 0.8295 0.3257  6 Pm 3.13-3.23
Te 0.2481 0.6743 0.8295  6 Pm 3.13-3.23


(5)
Density functional theory data (PBE) for crystalline Pm2Te5 at its relaxed geometry.

Output
Final energy: -4.70 eV per atom
Crystal system: orthorhombic
E_form (uncorrected): -1.097 eV per atom

a b c (Å): 4.4239 4.4238 22.8833
angles (deg): 90.00 95.55 90.00
With the nearest neighbours (Å) after each atom.
Atoms (fractional coordinates):
Pm 0.1014 0.2500 0.2028  9 Te 3.28-3.34
Pm 0.6938 0.7500 0.3876  9 Te 3.23-3.38
Pm 0.3062 0.2500 0.6124  9 Te 3.23-3.38
Pm 0.8986 0.7500 0.7972  9 Te 3.28-3.34
Te 0.3771 0.2500 0.7542  5 Pm 3.23-3.28
Te 0.6229 0.7500 0.2458  5 Pm 3.23-3.28
Te 0.0465 0.7500 0.0929  4 Te 3.13, 2 Pm 3.34
Te 0.2500 0.7500 0.5000  4 Te 3.13, 4 Pm 3.38
Te 0.7500 0.2500 0.5000  4 Te 3.13, 4 Pm 3.38
Te 0.8256 0.7500 0.6512  5 Pm 3.25-3.33
Te 0.4535 0.7500 0.9071  4 Te 3.13, 2 Pm 3.34
Te 0.1744 0.2500 0.3488  5 Pm 3.25-3.33
Te 0.9535 0.2500 0.9071  4 Te 3.13, 2 Pm 3.34
Te 0.5465 0.2500 0.0929  4 Te 3.13, 2 Pm 3.34


(6)
Density functional theory data (PBE) for crystalline PmTe at its relaxed geometry.

Output
Final energy: -5.35 eV per atom
Distance to the lowest polymorph of the same formula: 0.0 meV/atom
Crystal system: cubic
E_form (uncorrected): -1.403 eV per atom

a b c (Å): 4.4666 4.4666 4.4666
angles (deg): 60.00 60.00 60.00
With the nearest neighbours (Å) after each atom.
Atoms (fractional coordinates):
Pm 0.5000 0.5000 0.5000  6 Te 3.16
Te 0.0000 0.0000 0.0000  6 Pm 3.16